Record 1
# Fe2TcW | the Alexandria database | GGA-PBE | relaxed
data_Fe2TcW
_chemical_formula_sum 'Fe2 Tc1 W1'
_cell_length_a 4.239
_cell_length_b 4.239
_cell_length_c 4.239
_cell_angle_alpha 60.00
_cell_angle_beta 60.00
_cell_angle_gamma 60.00
_symmetry_space_group_name_H-M 'P 1'
_symmetry_Int_Tables_number 1
_symmetry_space_group_name_Hall 'P 1'
loop_
_atom_site_label
_atom_site_type_symbol
_atom_site_fract_x
_atom_site_fract_y
_atom_site_fract_z
Tc1 Tc 0.000 0.000 0.000
W1 W 0.500 0.500 0.500
Fe1 Fe 0.250 0.250 0.250
Fe2 Fe 0.750 0.750 0.750
# Space group: No. 225
# Volume, A^3/atom: 13.46
# ΔH_f (0 K), eV per atom: 0.16

=====

Record 2
# Fe2TcW | the Alexandria database | GGA-PBE | relaxed
data_Fe2TcW
_chemical_formula_sum 'Fe2 Tc1 W1'
_cell_length_a 4.931
_cell_length_b 4.931
_cell_length_c 4.931
_cell_angle_alpha 143.62
_cell_angle_beta 129.24
_cell_angle_gamma 64.04
_symmetry_space_group_name_H-M 'P 1'
_symmetry_Int_Tables_number 1
_symmetry_space_group_name_Hall 'P 1'
loop_
_atom_site_label
_atom_site_type_symbol
_atom_site_fract_x
_atom_site_fract_y
_atom_site_fract_z
Fe1 Fe 0.995 0.995 0.000
Fe2 Fe 0.755 0.255 0.500
Tc1 Tc 0.501 0.501 0.000
W1 W 0.248 0.748 0.500
# Space group: No. 44
# Volume, A^3/atom: 13.60
# ΔH_f (0 K), eV per atom: 0.11

=====

Record 3
# Fe8Tc3W | the Alexandria database | GGA-PBE | relaxed
data_Fe8Tc3W
_chemical_formula_sum 'Fe8 Tc3 W1'
_cell_length_a 4.645
_cell_length_b 4.645
_cell_length_c 7.674
_cell_angle_alpha 90.00
_cell_angle_beta 90.00
_cell_angle_gamma 120.00
_symmetry_space_group_name_H-M 'P 1'
_symmetry_Int_Tables_number 1
_symmetry_space_group_name_Hall 'P 1'
loop_
_atom_site_label
_atom_site_type_symbol
_atom_site_fract_x
_atom_site_fract_y
_atom_site_fract_z
Fe1 Fe 0.333 0.667 0.499
Fe2 Fe 0.333 0.667 0.000
Fe3 Fe 0.503 0.006 0.751
Fe4 Fe 0.503 0.497 0.751
Fe5 Fe 0.994 0.497 0.751
Fe6 Fe 0.164 0.327 0.249
Fe7 Fe 0.164 0.836 0.249
Fe8 Fe 0.673 0.836 0.249
Tc1 Tc 0.667 0.333 0.433
Tc2 Tc 0.667 0.333 0.065
Tc3 Tc 0.000 0.000 0.936
W1 W 0.000 0.000 0.564
# Space group: No. 156
# Volume, A^3/atom: 11.95
# ΔH_f (0 K), eV per atom: 0.01

=====

Record 4
# Fe2TcW | the Alexandria database | GGA-PBE | relaxed
data_Fe2TcW
_chemical_formula_sum 'Fe4 Tc2 W2'
_cell_length_a 6.668
_cell_length_b 6.668
_cell_length_c 5.360
_cell_angle_alpha 51.54
_cell_angle_beta 51.54
_cell_angle_gamma 90.00
_symmetry_space_group_name_H-M 'P 1'
_symmetry_Int_Tables_number 1
_symmetry_space_group_name_Hall 'P 1'
loop_
_atom_site_label
_atom_site_type_symbol
_atom_site_fract_x
_atom_site_fract_y
_atom_site_fract_z
Tc1 Tc 0.500 0.500 0.000
Tc2 Tc 0.250 0.750 0.500
W1 W 0.000 0.000 0.000
W2 W 0.750 0.250 0.500
Fe1 Fe 0.622 0.125 0.250
Fe2 Fe 0.128 0.625 0.250
Fe3 Fe 0.375 0.378 0.750
Fe4 Fe 0.875 0.872 0.750
# Space group: No. 122
# Volume, A^3/atom: 14.17
# ΔH_f (0 K), eV per atom: 0.72

=====

Record 5
# Fe3TcW | the Alexandria database | GGA-PBE | relaxed
data_Fe3TcW
_chemical_formula_sum 'Fe3 Tc1 W1'
_cell_length_a 4.318
_cell_length_b 4.318
_cell_length_c 4.318
_cell_angle_alpha 90.00
_cell_angle_beta 90.00
_cell_angle_gamma 90.00
_symmetry_space_group_name_H-M 'P 1'
_symmetry_Int_Tables_number 1
_symmetry_space_group_name_Hall 'P 1'
loop_
_atom_site_label
_atom_site_type_symbol
_atom_site_fract_x
_atom_site_fract_y
_atom_site_fract_z
Tc1 Tc 0.000 0.000 0.000
W1 W 0.500 0.500 0.500
Fe1 Fe 0.000 0.500 0.000
Fe2 Fe 0.000 0.000 0.500
Fe3 Fe 0.500 0.000 0.000
# Space group: No. 221
# Volume, A^3/atom: 16.10
# ΔH_f (0 K), eV per atom: 1.76

=====

Record 6
# Fe2TcW | the Alexandria database | GGA-PBE | relaxed
data_Fe2TcW
_chemical_formula_sum 'Fe2 Tc1 W1'
_cell_length_a 3.671
_cell_length_b 3.755
_cell_length_c 3.755
_cell_angle_alpha 90.00
_cell_angle_beta 90.00
_cell_angle_gamma 90.00
_symmetry_space_group_name_H-M 'P 1'
_symmetry_Int_Tables_number 1
_symmetry_space_group_name_Hall 'P 1'
loop_
_atom_site_label
_atom_site_type_symbol
_atom_site_fract_x
_atom_site_fract_y
_atom_site_fract_z
Fe1 Fe 0.000 0.000 0.000
Fe2 Fe 0.000 0.500 0.500
Tc1 Tc 0.500 0.500 0.000
W1 W 0.500 0.000 0.500
# Space group: No. 123
# Volume, A^3/atom: 12.94
# ΔH_f (0 K), eV per atom: 0.10

=====

Which value of ΔH_f (0 K) does entry 4 give?
0.72 eV per atom